BaLiGaRh: optimized geometry, GGA-PBE.

Lattice parameters (Å, degrees): 4.418 4.418 11.697 90.00 90.00 90.00
Sites, in units of the cell vectors:
Ba: 0.250 0.250 0.227
Ba: 0.750 0.750 0.773
Li: 0.250 0.750 0.500
Li: 0.750 0.250 0.500
Ga: 0.250 0.250 0.902
Ga: 0.750 0.750 0.098
Rh: 0.250 0.750 0.000
Rh: 0.750 0.250 0.000

As for the space group: P4/nmm. The size of the total moment is 0.000 Bohr magnetons per cell. As for the density: 4.61 g cm⁻³. The value obtained for the density of states at the Fermi level is 4.027 states/eV/cell. The value obtained for the energy of formation from the pure elements is -0.37 eV per atom. As for the volume: 28.54 Å³ per atom.